(1)
# SrPmAgBi | Alexandria via LeMat-Bulk | PBE-GGA | relaxed
data_SrPmAgBi
_chemical_formula_sum 'Sr4 Pm4 Ag4 Bi4'
_cell_length_a 7.860
_cell_length_b 7.860
_cell_length_c 7.860
_cell_angle_alpha 90.00
_cell_angle_beta 90.00
_cell_angle_gamma 90.00
_symmetry_space_group_name_H-M 'F -4 3 m'
_symmetry_Int_Tables_number 216
_symmetry_space_group_name_Hall 'F -4 2 3'
loop_
_atom_site_label
_atom_site_type_symbol
_atom_site_fract_x
_atom_site_fract_y
_atom_site_fract_z
_atom_site_occupancy
Sr1 Sr 0.000 0.000 0.000 1
Pm1 Pm 0.000 0.000 0.500 1
Ag1 Ag 0.250 0.250 0.250 1
Bi1 Bi 0.250 0.250 0.750 1
# Energy relative to the elements in eV/atom: -0.47
# Calculated density in Mg/m³: 7.52

=====

(2)
# Mg2AsPt | Alexandria via LeMat-Bulk | PBE-GGA | relaxed
data_Mg2AsPt
_chemical_formula_sum 'Mg6 As3 Pt3'
_cell_length_a 3.3545
_cell_length_b 3.3545
_cell_length_c 25.2169
_cell_angle_alpha 90.00
_cell_angle_beta 90.00
_cell_angle_gamma 120.00
_symmetry_space_group_name_H-M 'R 3 m'
_symmetry_Int_Tables_number 160
_symmetry_space_group_name_Hall 'R 3 -2"'
loop_
_atom_site_label
_atom_site_type_symbol
_atom_site_fract_x
_atom_site_fract_y
_atom_site_fract_z
_atom_site_occupancy
Mg1 Mg 0.0000 0.0000 0.0000 1
Mg2 Mg 0.0000 0.0000 0.2283 1
As1 As 0.0000 0.0000 0.4754 1
Pt1 Pt 0.0000 0.0000 0.7456 1
# Energy relative to the elements in eV/atom: -0.19
# Calculated density in Mg/m³: 6.46

=====

(3)
# Dy8GeP3S4 | Alexandria via LeMat-Bulk | PBE-GGA | relaxed
data_Dy8GeP3S4
_chemical_formula_sum 'Dy24 Ge3 P9 S12'
_cell_length_a 7.9761
_cell_length_b 7.9761
_cell_length_c 19.4945
_cell_angle_alpha 90.00
_cell_angle_beta 90.00
_cell_angle_gamma 120.00
_symmetry_space_group_name_H-M 'R -3 m'
_symmetry_Int_Tables_number 166
_symmetry_space_group_name_Hall '-R 3 2"'
loop_
_atom_site_label
_atom_site_type_symbol
_atom_site_fract_x
_atom_site_fract_y
_atom_site_fract_z
_atom_site_occupancy
Dy1 Dy 0.0000 0.0000 0.2471 1
Dy2 Dy 0.0019 0.5010 0.7519 1
Ge1 Ge 0.0000 0.0000 0.5000 1
P1 P 0.0000 0.5000 0.5000 1
S1 S 0.0000 0.0000 0.0000 1
S2 S 0.0000 0.5000 0.0000 1
# Formation energy without anion corrections in eV/atom: -1.78
# Calculated density in Mg/m³: 7.39

=====

(4)
# PmPd4Pt | Alexandria via LeMat-Bulk | PBE-GGA | relaxed
data_PmPd4Pt
_chemical_formula_sum 'Pm2 Pd8 Pt2'
_cell_length_a 7.651
_cell_length_b 4.201
_cell_length_c 6.905
_cell_angle_alpha 90.00
_cell_angle_beta 90.00
_cell_angle_gamma 90.00
_symmetry_space_group_name_H-M 'P m m a'
_symmetry_Int_Tables_number 51
loop_
_symmetry_equiv_pos_as_xyz
'x,y,z'
'-x,-y,-z'
'-x+1/2,-y,z'
'x+1/2,y,-z'
'x+1/2,-y,-z'
'-x+1/2,y,z'
'-x,y,-z'
'x,-y,z'
loop_
_atom_site_label
_atom_site_type_symbol
_atom_site_fract_x
_atom_site_fract_y
_atom_site_fract_z
_atom_site_occupancy
Pm1 Pm 0.250 0.000 0.158 1
Pd1 Pd 0.000 0.000 0.500 1
Pd2 Pd 0.035 0.500 0.802 1
Pd3 Pd 0.250 0.500 0.470 1
Pt1 Pt 0.250 0.000 0.761 1
# Energy relative to the elements in eV/atom: -0.43
# Calculated density in Mg/m³: 11.46

=====

(5)
# Ce2NdHg4 | Alexandria via LeMat-Bulk | PBE-GGA | relaxed
data_Ce2NdHg4
_chemical_formula_sum 'Ce4 Nd2 Hg8'
_cell_length_a 5.893
_cell_length_b 18.956
_cell_length_c 3.501
_cell_angle_alpha 90.00
_cell_angle_beta 90.00
_cell_angle_gamma 90.00
_symmetry_space_group_name_H-M 'C m m m'
_symmetry_Int_Tables_number 65
_symmetry_space_group_name_Hall '-C 2 2'
loop_
_atom_site_label
_atom_site_type_symbol
_atom_site_fract_x
_atom_site_fract_y
_atom_site_fract_z
_atom_site_occupancy
Ce1 Ce 0.000 0.070 0.000 1
Nd1 Nd 0.000 0.500 0.500 1
Hg1 Hg 0.000 0.214 0.500 1
Hg2 Hg 0.000 0.351 0.000 1
# Energy relative to the elements in eV/atom: -0.09
# Calculated density in Mg/m³: 10.42

=====

(6)
# KCoReAs2 | Alexandria via LeMat-Bulk | PBE-GGA | relaxed
data_KCoReAs2
_chemical_formula_sum 'K1 Co1 Re1 As2'
_cell_length_a 4.817
_cell_length_b 4.817
_cell_length_c 5.026
_cell_angle_alpha 90.00
_cell_angle_beta 90.00
_cell_angle_gamma 90.00
_symmetry_space_group_name_H-M 'P 4/m m m'
_symmetry_Int_Tables_number 123
_symmetry_space_group_name_Hall '-P 4 2'
loop_
_atom_site_label
_atom_site_type_symbol
_atom_site_fract_x
_atom_site_fract_y
_atom_site_fract_z
_atom_site_occupancy
K1 K 0.000 0.000 0.000 1
Co1 Co 0.500 0.500 0.000 1
Re1 Re 0.500 0.500 0.500 1
As1 As 0.000 0.500 0.500 1
# Energy relative to the elements in eV/atom: 0.44
# Calculated density in Mg/m³: 6.18

=====

(7)
# AcP2PdS6 | Alexandria via LeMat-Bulk | PBE-GGA | relaxed
data_AcP2PdS6
_chemical_formula_sum 'Ac3 P6 Pd3 S18'
_cell_length_a 6.3143
_cell_length_b 6.3143
_cell_length_c 20.9523
_cell_angle_alpha 90.00
_cell_angle_beta 90.00
_cell_angle_gamma 120.00
_symmetry_space_group_name_H-M 'R -3'
_symmetry_Int_Tables_number 148
_symmetry_space_group_name_Hall '-R 3'
loop_
_atom_site_label
_atom_site_type_symbol
_atom_site_fract_x
_atom_site_fract_y
_atom_site_fract_z
_atom_site_occupancy
Ac1 Ac 0.0000 0.0000 0.0000 1
P1 P 0.0000 0.0000 0.2677 1
Pd1 Pd 0.0000 0.0000 0.5000 1
S1 S 0.0043 0.3836 0.0892 1
# Formation energy without anion corrections in eV/atom: -0.54
# Calculated density in Mg/m³: 4.05

=====

(8)
# CaAcSn2Pd2 | Alexandria via LeMat-Bulk | PBE-GGA | relaxed
data_CaAcSn2Pd2
_chemical_formula_sum 'Ca1 Ac1 Sn2 Pd2'
_cell_length_a 4.7705
_cell_length_b 4.7705
_cell_length_c 7.6384
_cell_angle_alpha 90.00
_cell_angle_beta 90.00
_cell_angle_gamma 120.00
_symmetry_space_group_name_H-M 'P -3 m 1'
_symmetry_Int_Tables_number 164
_symmetry_space_group_name_Hall '-P 3 2"'
loop_
_atom_site_label
_atom_site_type_symbol
_atom_site_fract_x
_atom_site_fract_y
_atom_site_fract_z
_atom_site_occupancy
Ca1 Ca 0.0000 0.0000 0.0000 1
Ac1 Ac 0.0000 0.0000 0.5000 1
Sn1 Sn 0.3333 0.6667 0.7885 1
Pd1 Pd 0.3333 0.6667 0.1998 1
# Energy relative to the elements in eV/atom: -0.79
# Calculated density in Mg/m³: 7.91

=====

(9)
# KBa2MgCu | Alexandria via LeMat-Bulk | PBE-GGA | relaxed
data_KBa2MgCu
_chemical_formula_sum 'K1 Ba2 Mg1 Cu1'
_cell_length_a 6.426
_cell_length_b 6.426
_cell_length_c 5.379
_cell_angle_alpha 90.00
_cell_angle_beta 90.00
_cell_angle_gamma 90.00
_symmetry_space_group_name_H-M 'P 4/m m m'
_symmetry_Int_Tables_number 123
_symmetry_space_group_name_Hall '-P 4 2'
loop_
_atom_site_label
_atom_site_type_symbol
_atom_site_fract_x
_atom_site_fract_y
_atom_site_fract_z
_atom_site_occupancy
K1 K 0.000 0.000 0.000 1
Ba1 Ba 0.000 0.500 0.500 1
Mg1 Mg 0.500 0.500 0.000 1
Cu1 Cu 0.500 0.500 0.500 1
# Energy relative to the elements in eV/atom: 0.08
# Calculated density in Mg/m³: 3.00

=====

(10)
# CuReSb2 | Alexandria via LeMat-Bulk | PBE-GGA | relaxed
data_CuReSb2
_chemical_formula_sum 'Cu1 Re1 Sb2'
_cell_length_a 3.335
_cell_length_b 3.335
_cell_length_c 6.816
_cell_angle_alpha 90.00
_cell_angle_beta 90.00
_cell_angle_gamma 90.00
_symmetry_space_group_name_H-M 'P 4/m m m'
_symmetry_Int_Tables_number 123
_symmetry_space_group_name_Hall '-P 4 2'
loop_
_atom_site_label
_atom_site_type_symbol
_atom_site_fract_x
_atom_site_fract_y
_atom_site_fract_z
_atom_site_occupancy
Cu1 Cu 0.000 0.000 0.000 1
Re1 Re 0.000 0.000 0.500 1
Sb1 Sb 0.500 0.500 0.263 1
# Formation energy without anion corrections in eV/atom: 0.44
# Calculated density in Mg/m³: 10.81

=====

(11)
# InCuCl4 | Alexandria via LeMat-Bulk | PBE-GGA | relaxed
data_InCuCl4
_chemical_formula_sum 'In4 Cu4 Cl16'
_cell_length_a 8.531
_cell_length_b 8.531
_cell_length_c 8.531
_cell_angle_alpha 90.00
_cell_angle_beta 90.00
_cell_angle_gamma 90.00
_symmetry_space_group_name_H-M 'F -4 3 m'
_symmetry_Int_Tables_number 216
_symmetry_space_group_name_Hall 'F -4 2 3'
loop_
_atom_site_label
_atom_site_type_symbol
_atom_site_fract_x
_atom_site_fract_y
_atom_site_fract_z
_atom_site_occupancy
In1 In 0.000 0.000 0.000 1
Cu1 Cu 0.250 0.250 0.250 1
Cl1 Cl 0.125 0.125 0.625 1
# Formation energy without anion corrections in eV/atom: 0.42
# Calculated density in Mg/m³: 3.43

=====

(12)
# AlAgIr | Alexandria via LeMat-Bulk | PBE-GGA | relaxed
data_AlAgIr
_chemical_formula_sum 'Al4 Ag4 Ir4'
_cell_length_a 2.952
_cell_length_b 4.819
_cell_length_c 13.327
_cell_angle_alpha 90.00
_cell_angle_beta 90.00
_cell_angle_gamma 90.00
_symmetry_space_group_name_H-M 'F m m 2'
_symmetry_Int_Tables_number 42
_symmetry_space_group_name_Hall 'F 2 -2'
loop_
_atom_site_label
_atom_site_type_symbol
_atom_site_fract_x
_atom_site_fract_y
_atom_site_fract_z
_atom_site_occupancy
Al1 Al 0.000 0.000 0.000 1
Ag1 Ag 0.000 0.000 0.669 1
Ir1 Ir 0.000 0.000 0.354 1
# Energy relative to the elements in eV/atom: -0.07
# Calculated density in Mg/m³: 11.46

=====

(13)
# Cs2InAsCl | Alexandria via LeMat-Bulk | PBE-GGA | relaxed
data_Cs2InAsCl
_chemical_formula_sum 'Cs2 In1 As1 Cl1'
_cell_length_a 6.476
_cell_length_b 6.476
_cell_length_c 5.261
_cell_angle_alpha 90.00
_cell_angle_beta 90.00
_cell_angle_gamma 90.00
_symmetry_space_group_name_H-M 'P 4/m m m'
_symmetry_Int_Tables_number 123
_symmetry_space_group_name_Hall '-P 4 2'
loop_
_atom_site_label
_atom_site_type_symbol
_atom_site_fract_x
_atom_site_fract_y
_atom_site_fract_z
_atom_site_occupancy
Cs1 Cs 0.000 0.500 0.000 1
In1 In 0.000 0.000 0.500 1
As1 As 0.500 0.500 0.500 1
Cl1 Cl 0.500 0.500 0.000 1
# Formation energy without anion corrections in eV/atom: -0.26
# Calculated density in Mg/m³: 3.70

=====

no.,E_tot (eV/atom)
1,-3.762
2,-3.664
3,-6.411
4,-5.692
5,-2.642
6,-5.549
7,-5.031
8,-4.877
9,-2.051
10,-5.757
11,-1.949
12,-5.222
13,-2.450